[1]
Density functional theory data (PBE-GGA) for a geometry-optimized CrReN3 structure.

```
5
Lattice="-0.942 -3.234 -1.915 2.492 0.941 -2.815 2.815 -1.916 1.851" Properties=species:S:1:pos:R:3 pbc="T T T"
Re 0.000 0.000 0.000
N 1.246 0.471 -1.407
N 1.407 -0.958 0.926
N -0.471 -1.617 -0.958
Cr 2.182 -2.105 -1.440
```

Summary:
Total DFT energy (no corrections): -8.719 eV/atom
M_tot: 0.68 μB/atom
V: 58.2 Å³ per cell

=====

[2]
Density functional theory data (PBE-GGA) for a geometry-optimized Sr2MnCr structure.

```
4
Lattice="-2.197 -0.799 -2.749 -2.261 -1.643 2.284 -4.454 7.891 1.267" Properties=species:S:1:pos:R:3 pbc="T T T"
Cr -2.605 4.614 0.741
Mn -5.202 4.047 0.613
Sr -4.154 7.359 1.181
Sr -3.632 1.265 0.166
```

Summary:
Energy above the most stable polymorph in this dataset: 0 meV per atom
Energy of formation: 0.477 eV/atom
M_tot: 0.02 μB/atom
V: 119.2 Å³ per cell

=====

What is the formula in the first record? CrReN3

=====

Copy entry 2 word for word.
Density functional theory data (PBE-GGA) for a geometry-optimized Sr2MnCr structure.

```
4
Lattice="-2.197 -0.799 -2.749 -2.261 -1.643 2.284 -4.454 7.891 1.267" Properties=species:S:1:pos:R:3 pbc="T T T"
Cr -2.605 4.614 0.741
Mn -5.202 4.047 0.613
Sr -4.154 7.359 1.181
Sr -3.632 1.265 0.166
```

Summary:
Energy above the most stable polymorph in this dataset: 0 meV per atom
Energy of formation: 0.477 eV/atom
M_tot: 0.02 μB/atom
V: 119.2 Å³ per cell

=====

What is the V in the second record? 119.2 Å³ per cell